An optimized crystal structure of Sm2MnBiO6, computed with PBE+U.

a b c (Å): 5.3564 5.3564 5.4494
angles (deg): 90.00 90.00 90.00
With the nearest neighbours (Å) after each atom.
Positions (direct):
Sm1 0.0000 0.5000 0.0000  4 O 2.34
Sm2 0.5000 0.0000 0.0000  4 O 2.34
Mn1 0.0000 0.0000 0.6215  5 O 1.94-2.14
Bi1 0.5000 0.5000 0.5484  5 O 2.25-2.30
O1 0.0000 0.0000 0.2282  1 Mn 2.14
O2 0.2400 0.2400 0.7471  1 Mn 1.94
O3 0.2400 0.7600 0.7471  1 Mn 1.94
O4 0.5000 0.5000 0.1267  1 Bi 2.30
O5 0.7600 0.2400 0.7471  1 Mn 1.94
O6 0.7600 0.7600 0.7471  1 Mn 1.94

Calculated values
**Total DFT energy (no corrections)**: -72.15 eV/f.u.
**Space group**: No. 99